Record 1
{"formula": "LaCrFe", "functional": "GGA-PBE", "state": "optimized geometry", "lattice": [[6.470, 0.000, 0.000], [0.000, 6.470, 0.000], [0.000, 0.000, 6.470]], "species": ["La", "La", "La", "La", "Cr", "Cr", "Cr", "Cr", "Fe", "Fe", "Fe", "Fe"], "fractional_positions": [[0.000, 0.000, 0.000], [0.000, 0.500, 0.500], [0.500, 0.000, 0.500], [0.500, 0.500, 0.000], [0.250, 0.250, 0.250], [0.250, 0.750, 0.750], [0.750, 0.250, 0.750], [0.750, 0.750, 0.250], [0.250, 0.250, 0.750], [0.250, 0.750, 0.250], [0.750, 0.250, 0.250], [0.750, 0.750, 0.750]], "m_tot_mub_per_cell": 6.92, "relative_energy_mev_per_atom": 1014.2, "spacegroup": "No. 216", "delta_e_f_ev_per_fu": 4.024}

=====

Record 2
{"formula": "HoMg2", "functional": "GGA-PBE", "state": "optimized geometry", "lattice": [[6.051, 0.000, 0.000], [-3.026, 5.240, 0.000], [0.000, 0.000, 9.729]], "species": ["Ho", "Ho", "Ho", "Ho", "Mg", "Mg", "Mg", "Mg", "Mg", "Mg", "Mg", "Mg"], "fractional_positions": [[0.333, 0.667, 0.064], [0.333, 0.667, 0.436], [0.667, 0.333, 0.564], [0.667, 0.333, 0.936], [0.000, 0.000, 0.000], [0.000, 0.000, 0.500], [0.171, 0.342, 0.750], [0.171, 0.829, 0.750], [0.342, 0.171, 0.250], [0.658, 0.829, 0.750], [0.829, 0.171, 0.250], [0.829, 0.658, 0.250]], "m_tot_mub_per_cell": 0.00, "spacegroup": "No. 194", "delta_e_f_ev_per_fu": -0.192}

=====

Record 3
{"formula": "RbLiZnRu2", "functional": "GGA-PBE", "state": "optimized geometry", "lattice": [[4.551, 0.000, 0.000], [0.000, 4.551, 0.000], [0.000, 0.000, 4.761]], "species": ["Rb", "Li", "Zn", "Ru", "Ru"], "fractional_positions": [[0.000, 0.000, 0.000], [0.500, 0.500, 0.500], [0.500, 0.500, 0.000], [0.000, 0.500, 0.500], [0.500, 0.000, 0.500]], "m_tot_mub_per_cell": 2.99, "spacegroup": "No. 123", "delta_e_f_ev_per_fu": 6.573}

=====

Record 4
{"formula": "H4Rh2Pb3", "functional": "GGA-PBE", "state": "optimized geometry", "lattice": [[6.129, -4.519, 0.000], [6.129, 4.519, 0.000], [-0.217, 0.000, 4.928]], "species": ["H", "H", "H", "H", "H", "H", "H", "H", "Rh", "Rh", "Rh", "Rh", "Pb", "Pb", "Pb", "Pb", "Pb", "Pb"], "fractional_positions": [[0.055, 0.564, 0.151], [0.119, 0.225, 0.420], [0.225, 0.119, 0.920], [0.436, 0.945, 0.349], [0.564, 0.055, 0.651], [0.775, 0.881, 0.080], [0.881, 0.775, 0.580], [0.945, 0.436, 0.849], [0.106, 0.323, 0.104], [0.323, 0.106, 0.604], [0.677, 0.894, 0.396], [0.894, 0.677, 0.896], [0.114, 0.886, 0.250], [0.234, 0.500, 0.631], [0.500, 0.234, 0.131], [0.500, 0.766, 0.869], [0.766, 0.500, 0.369], [0.886, 0.114, 0.750]], "dft_energy_ev_per_atom": -4.371, "m_tot_mub_per_cell": 0.00, "spacegroup": "No. 15"}

=====

Record 5
{"formula": "TaGa3Ge", "functional": "GGA-PBE", "state": "optimized geometry", "lattice": [[4.763, 0.000, 0.000], [0.000, 4.763, 0.000], [0.000, 0.000, 4.763]], "species": ["Ta", "Ga", "Ga", "Ga", "Ge"], "fractional_positions": [[0.000, 0.000, 0.000], [0.000, 0.500, 0.500], [0.500, 0.000, 0.500], [0.500, 0.500, 0.000], [0.500, 0.500, 0.500]], "m_tot_mub_per_cell": 0.00, "relative_energy_mev_per_atom": 417.0, "spacegroup": "No. 221", "delta_e_f_ev_per_fu": 5.612}

=====

Record 6
{"formula": "LaNdEr2Tm5", "functional": "GGA-PBE", "state": "optimized geometry", "lattice": [[-4.428, 4.428, 7.404], [4.428, -4.428, 7.404], [4.428, 4.428, -7.404]], "species": ["La", "La", "Nd", "Nd", "Er", "Er", "Er", "Er", "Tm", "Tm", "Tm", "Tm", "Tm", "Tm", "Tm", "Tm", "Tm", "Tm"], "fractional_positions": [[0.250, 0.250, 0.000], [0.750, 0.750, 0.000], [0.250, 0.750, 0.500], [0.750, 0.250, 0.500], [0.114, 0.614, 0.728], [0.386, 0.114, 0.500], [0.614, 0.886, 0.500], [0.886, 0.386, 0.272], [0.000, 0.000, 0.000], [0.073, 0.168, 0.500], [0.168, 0.668, 0.094], [0.332, 0.427, 0.500], [0.427, 0.927, 0.094], [0.500, 0.500, 0.000], [0.573, 0.073, 0.906], [0.668, 0.573, 0.500], [0.832, 0.332, 0.906], [0.927, 0.832, 0.500]], "m_tot_mub_per_cell": 0.02, "spacegroup": "No. 140", "delta_e_f_ev_per_fu": 2.522}

=====

Record 7
{"formula": "Dy5TmAu6", "functional": "GGA-PBE", "state": "optimized geometry", "lattice": [[-2.552, 3.551, 7.677], [2.552, -3.551, 7.677], [2.552, 3.551, -7.677]], "species": ["Dy", "Dy", "Dy", "Dy", "Dy", "Tm", "Au", "Au", "Au", "Au", "Au", "Au"], "fractional_positions": [[0.000, 0.000, 0.000], [0.167, 0.667, 0.500], [0.333, 0.333, 0.000], [0.667, 0.667, 0.000], [0.833, 0.333, 0.500], [0.500, 0.000, 0.500], [0.087, 0.835, 0.252], [0.254, 0.500, 0.754], [0.417, 0.165, 0.252], [0.583, 0.835, 0.748], [0.746, 0.500, 0.246], [0.913, 0.165, 0.748]], "m_tot_mub_per_cell": 0.00, "spacegroup": "No. 71", "delta_e_f_ev_per_fu": -10.403}

=====

Record 8
{"formula": "HoPaPt", "functional": "GGA-PBE", "state": "optimized geometry", "lattice": [[6.853, 0.000, 0.000], [0.000, 6.853, 0.000], [0.000, 0.000, 6.853]], "species": ["Ho", "Ho", "Ho", "Ho", "Pa", "Pa", "Pa", "Pa", "Pt", "Pt", "Pt", "Pt"], "fractional_positions": [[0.000, 0.000, 0.000], [0.000, 0.500, 0.500], [0.500, 0.000, 0.500], [0.500, 0.500, 0.000], [0.000, 0.000, 0.500], [0.000, 0.500, 0.000], [0.500, 0.000, 0.000], [0.500, 0.500, 0.500], [0.250, 0.250, 0.250], [0.250, 0.750, 0.750], [0.750, 0.250, 0.750], [0.750, 0.750, 0.250]], "m_tot_mub_per_cell": 4.26, "relative_energy_mev_per_atom": 182.1, "spacegroup": "No. 216", "delta_e_f_ev_per_fu": -1.197}